a:
Computed, not measured: an optimized crystal structure of CaTlAsSe2 at the PBE-GGA level of DFT.

a b c (Å): 5.469 5.469 5.208
angles (deg): 90.00 90.00 90.00
Site moments in Bohr magnetons follow the coordinates.
Fractional positions:
Se: 0.500 0.000 0.000  0.09
Se: 0.000 0.500 0.000  0.09
Tl: 0.000 0.000 0.000  0.01
Ca: 0.500 0.500 0.500  0.01
As: 0.000 0.000 0.500  0.28

## Properties
- magnetic moment (Bohr magnetons per cell) = 0.93
- volume (Å³ per atom) = 31.2
- density (Mg/m³) = 5.1


b:
Computed, not measured: an optimized crystal structure of CaTlAsSe2 at the PBE-GGA level of DFT.

a b c (Å): 5.522 5.522 5.527
angles (deg): 90.00 90.00 90.00
Site moments in Bohr magnetons follow the coordinates.
Fractional positions:
Se: 0.000 0.500 0.000  0.02
Se: 0.500 0.000 0.000  0.02
Tl: 0.500 0.500 0.500  0.01
As: 0.000 0.000 0.500  0.34
Ca: 0.000 0.000 0.000  0.00

## Properties
- magnetic moment (Bohr magnetons per cell) = 0.85
- volume (Å³ per atom) = 33.7
- density (Mg/m³) = 4.7


Quick one: least stable of them? a


a:
Computed, not measured: an optimized crystal structure of CaVAs2Se at the PBE-GGA level of DFT.

a b c (Å): 4.639 4.639 5.452
angles (deg): 90.00 90.00 90.00
Fractional positions:
V: 0.000 0.000 0.000
Ca: 0.500 0.500 0.500
Se: 0.000 0.000 0.500
As: 0.000 0.500 0.000
As: 0.500 0.000 0.000

## Properties
- magnetic moment (Bohr magnetons per cell) = 0.00
- volume (Å³ per atom) = 23.5
- density (Mg/m³) = 4.5


b:
Computed, not measured: an optimized crystal structure of CaVAs2Se at the PBE-GGA level of DFT.

a b c (Å): 5.240 5.240 5.260
angles (deg): 90.00 90.00 90.00
Site moments in Bohr magnetons follow the coordinates.
Fractional positions:
As: 0.000 0.500 0.000  -0.02
As: 0.500 0.000 0.000  -0.02
V: 0.500 0.500 0.500  0.25
Ca: 0.000 0.000 0.000  0.01
Se: 0.000 0.000 0.500  -0.03

## Properties
- magnetic moment (Bohr magnetons per cell) = 0.13
- volume (Å³ per atom) = 28.9
- density (Mg/m³) = 3.7


Quick one: least stable of them? b


a:
Computed, not measured: an optimized crystal structure of CaVAsSe2 at the PBE-GGA level of DFT.

a b c (Å): 5.341 4.659 5.341
angles (deg): 90.00 90.00 90.00
Site moments in Bohr magnetons follow the coordinates.
Fractional positions:
Se: 0.000 0.000 0.500  0.01
Se: 0.500 0.000 0.000  -0.01
Ca: 0.500 0.500 0.500  0.05
As: 0.000 0.000 0.000  -0.08
V: 0.000 0.500 0.000  2.63

## Properties
- magnetic moment (Bohr magnetons per cell) = 3.37
- volume (Å³ per atom) = 26.6
- density (Mg/m³) = 4.0


b:
Computed, not measured: an optimized crystal structure of CaVAsSe2 at the PBE-GGA level of DFT.

a b c (Å): 4.968 4.968 4.705
angles (deg): 90.00 90.00 90.00
Fractional positions:
As: 0.000 0.000 0.500
V: 0.000 0.000 0.000
Ca: 0.500 0.500 0.500
Se: 0.000 0.500 0.000
Se: 0.500 0.000 0.000

## Properties
- magnetic moment (Bohr magnetons per cell) = 0.00
- volume (Å³ per atom) = 23.2
- density (Mg/m³) = 4.6


c:
Computed, not measured: an optimized crystal structure of CaVAsSe2 at the PBE-GGA level of DFT.

a b c (Å): 5.310 5.310 5.235
angles (deg): 90.00 90.00 90.00
Site moments in Bohr magnetons follow the coordinates.
Fractional positions:
Se: 0.000 0.500 0.000  -0.08
Se: 0.500 0.000 0.000  -0.08
As: 0.000 0.000 0.500  0.13
Ca: 0.000 0.000 0.000  0.01
V: 0.500 0.500 0.500  -0.13

## Properties
- magnetic moment (Bohr magnetons per cell) = 0.06
- volume (Å³ per atom) = 29.5
- density (Mg/m³) = 3.6


Quick one: least stable of them? c


a:
Computed, not measured: an optimized crystal structure of CaAs2WSe at the PBE-GGA level of DFT.

a b c (Å): 4.834 4.834 5.345
angles (deg): 90.00 90.00 90.00
Fractional positions:
Se: 0.000 0.000 0.500
Ca: 0.500 0.500 0.500
As: 0.000 0.500 0.000
As: 0.500 0.000 0.000
W: 0.000 0.000 0.000

## Properties
- magnetic moment (Bohr magnetons per cell) = 0.00
- volume (Å³ per atom) = 25.0
- density (Mg/m³) = 6.0


b:
Computed, not measured: an optimized crystal structure of CaAs2WSe at the PBE-GGA level of DFT.

a b c (Å): 5.130 5.130 5.095
angles (deg): 90.00 90.00 90.00
Site moments in Bohr magnetons follow the coordinates.
Fractional positions:
W: 0.500 0.500 0.500  0.27
As: 0.000 0.500 0.000  -0.01
As: 0.500 0.000 0.000  -0.01
Ca: 0.000 0.000 0.000  0.00
Se: 0.000 0.000 0.500  -0.03

## Properties
- magnetic moment (Bohr magnetons per cell) = 0.25
- volume (Å³ per atom) = 26.8
- density (Mg/m³) = 5.6


Quick one: least stable of them? b


a:
Computed, not measured: an optimized crystal structure of CaAsWSe2 at the PBE-GGA level of DFT.

a b c (Å): 5.264 5.264 5.232
angles (deg): 90.00 90.00 90.00
Site moments in Bohr magnetons follow the coordinates.
Fractional positions:
Se: 0.500 0.000 0.000  -0.24
Se: 0.000 0.500 0.000  -0.24
Ca: 0.000 0.000 0.000  0.00
W: 0.500 0.500 0.500  3.12
As: 0.000 0.000 0.500  -0.23

## Properties
- magnetic moment (Bohr magnetons per cell) = 2.94
- volume (Å³ per atom) = 29.0
- density (Mg/m³) = 5.2


b:
Computed, not measured: an optimized crystal structure of CaAsWSe2 at the PBE-GGA level of DFT.

a b c (Å): 5.032 5.032 4.903
angles (deg): 90.00 90.00 90.00
Fractional positions:
Se: 0.500 0.000 0.000
Se: 0.000 0.500 0.000
W: 0.000 0.000 0.000
As: 0.000 0.000 0.500
Ca: 0.500 0.500 0.500

## Properties
- magnetic moment (Bohr magnetons per cell) = 0.00
- volume (Å³ per atom) = 24.8
- density (Mg/m³) = 6.1


Quick one: least stable of them? a


a:
Computed, not measured: an optimized crystal structure of CaZnAs2Se at the PBE-GGA level of DFT.

a b c (Å): 4.784 4.784 5.356
angles (deg): 90.00 90.00 90.00
Fractional positions:
Zn: 0.000 0.000 0.000
Se: 0.000 0.000 0.500
Ca: 0.500 0.500 0.500
As: 0.000 0.500 0.000
As: 0.500 0.000 0.000

## Properties
- magnetic moment (Bohr magnetons per cell) = 0.00
- volume (Å³ per atom) = 24.5
- density (Mg/m³) = 4.5


b:
Computed, not measured: an optimized crystal structure of CaZnAs2Se at the PBE-GGA level of DFT.

a b c (Å): 5.456 5.456 5.323
angles (deg): 90.00 90.00 90.00
Site moments in Bohr magnetons follow the coordinates.
Fractional positions:
Se: 0.000 0.000 0.500  0.04
As: 0.500 0.000 0.000  0.09
As: 0.000 0.500 0.000  0.09
Ca: 0.000 0.000 0.000  0.00
Zn: 0.500 0.500 0.500  0.00

## Properties
- magnetic moment (Bohr magnetons per cell) = 0.46
- volume (Å³ per atom) = 31.7
- density (Mg/m³) = 3.5


Quick one: least stable of them? b